A plane-wave DFT calculation with PBE was carried out for a relaxed ZnReNi3 crystal.

Unit cell a=4.222 b=4.222 c=4.222 alpha=90.00 beta=90.00 gamma=90.00
Space group Pm-3m (No. 221)
Inequivalent atoms, fractional coordinates:
Zn1 0.000 0.000 0.000
Re1 0.500 0.500 0.500
Ni1 0.000 0.000 0.500

Results
The calculation puts the polymorph energy (0 for the lowest one) at 0.006 eV/atom. As for the formation enthalpy at 0 K: 130.3 kJ per mole of atoms.